Entry 1:
The following is a DFT calculation (PBE-GGA) of a geometry-optimized Ce7In2Os2 structure.

Results
**E_form**: -0.112 eV per atom
**N(E_F)**: 30.81 states/eV/f.u.

Lattice parameters (Å, degrees): 6.792 6.986 6.986 70.94 89.97 89.97
Last column: magnetic moment on the atom in μB.
Atoms (fractional coordinates):
Ce1 0.269 0.000 0.500  0.30
Ce2 0.731 0.500 0.000  0.30
Ce3 0.731 0.000 0.500  0.30
Ce4 0.269 0.500 0.000  0.30
Ce5 0.000 0.000 0.000  0.77
Ce6 0.792 0.500 0.500  0.50
Ce7 0.208 0.500 0.500  0.50
In1 0.500 0.176 0.824  -0.01
In2 0.500 0.824 0.176  -0.01
Os1 0.000 0.269 0.269  -0.06
Os2 0.000 0.731 0.731  -0.06

Entry 2:
The following is a DFT calculation (PBE-GGA) of a geometry-optimized Ce5In2Os2 structure.

Results
**E_form**: -0.113 eV per atom
**Polymorph energy (0 for the lowest one)**: 0.114 eV per atom
**N(E_F)**: 19.88 states/eV/f.u.

Lattice parameters (Å, degrees): 8.732 6.714 9.835 109.96 116.36 90.00
Last column: magnetic moment on the atom in μB.
Atoms (fractional coordinates):
Ce1 0.247 0.627 0.920  0.33
Ce2 0.753 0.707 0.080  0.33
Ce3 0.173 0.127 0.920  0.33
Ce4 0.827 0.207 0.080  0.33
Ce5 0.262 0.101 0.318  0.40
Ce6 0.738 0.783 0.682  0.40
Ce7 0.557 0.601 0.318  0.40
Ce8 0.443 0.283 0.682  0.40
Ce9 0.037 0.787 0.500  0.35
Ce10 0.963 0.287 0.500  0.35
In1 0.147 0.575 0.199  0.00
In2 0.853 0.376 0.801  0.00
In3 0.552 0.075 0.199  0.00
In4 0.448 0.876 0.801  0.00
Os1 0.000 0.866 0.000  -0.05
Os2 0.500 0.366 0.000  -0.05
Os3 0.241 0.514 0.500  -0.07
Os4 0.759 0.014 0.500  -0.07

Entry 3:
The following is a DFT calculation (PBE-GGA) of a geometry-optimized Ce3In2Os structure.

Results
**E_form**: -0.152 eV per atom
**N(E_F)**: 14.77 states/eV/f.u.

Lattice parameters (Å, degrees): 7.965 6.593 8.179 84.64 81.11 52.84
Last column: magnetic moment on the atom in μB.
Atoms (fractional coordinates):
Ce1 0.458 0.629 0.775  0.56
Ce2 0.328 0.000 0.169  0.57
Ce3 0.542 0.371 0.225  0.56
Ce4 0.912 0.629 0.225  0.56
Ce5 0.088 0.371 0.775  0.56
Ce6 0.672 0.000 0.831  0.57
In1 0.000 0.000 0.000  0.01
In2 0.500 0.000 0.500  0.00
In3 0.136 0.728 0.500  0.02
In4 0.864 0.272 0.500  0.02
Os1 0.713 0.575 0.000  -0.09
Os2 0.287 0.425 0.000  -0.09

Entry 4:
The following is a DFT calculation (PBE-GGA) of a geometry-optimized Ce12In6Os structure.

Results
**E_form**: -0.164 eV per atom
**N(E_F)**: 42.04 states/eV/f.u.

Lattice parameters (Å, degrees): 7.941 7.941 7.941 89.15 89.15 89.15
Last column: magnetic moment on the atom in μB.
Atoms (fractional coordinates):
Ce1 0.775 0.498 0.416  0.14
Ce2 0.416 0.775 0.498  0.14
Ce3 0.498 0.416 0.775  0.14
Ce4 0.225 0.502 0.584  0.14
Ce5 0.584 0.225 0.502  0.14
Ce6 0.502 0.584 0.225  0.14
Ce7 0.066 0.145 0.348  0.20
Ce8 0.855 0.652 0.934  0.20
Ce9 0.652 0.934 0.855  0.20
Ce10 0.934 0.855 0.652  0.20
Ce11 0.145 0.348 0.066  0.20
Ce12 0.348 0.066 0.145  0.20
In1 0.743 0.906 0.267  0.00
In2 0.733 0.257 0.094  0.00
In3 0.094 0.733 0.257  0.00
In4 0.257 0.094 0.733  0.00
In5 0.267 0.743 0.906  0.00
In6 0.906 0.267 0.743  0.00
Os1 0.000 0.000 0.000  -0.03

Entry 5:
The following is a DFT calculation (PBE-GGA) of a geometry-optimized Ce8In2Os structure.

Results
**E_form**: -0.168 eV per atom
**N(E_F)**: 29.55 states/eV/f.u.

Lattice parameters (Å, degrees): 5.241 6.804 8.838 108.22 107.25 90.00
Last column: magnetic moment on the atom in μB.
Atoms (fractional coordinates):
Ce1 0.399 0.603 0.798  0.33
Ce2 0.648 0.896 0.296  0.33
Ce3 0.811 0.856 0.623  0.51
Ce4 0.003 0.300 0.007  0.42
Ce5 0.189 0.144 0.377  0.51
Ce6 0.352 0.104 0.704  0.33
Ce7 0.601 0.397 0.202  0.33
Ce8 0.997 0.700 0.993  0.42
In1 0.804 0.346 0.608  -0.01
In2 0.196 0.654 0.392  -0.01
Os1 0.500 0.000 0.000  -0.07

Entry 6:
The following is a DFT calculation (PBE-GGA) of a geometry-optimized Ce8InOs6 structure.

Results
**E_form**: -0.100 eV per atom
**N(E_F)**: 18.45 states/eV/f.u.

Lattice parameters (Å, degrees): 4.064 10.177 10.177 120.00 90.00 90.00
Atoms (fractional coordinates):
Ce1 0.760 0.672 0.947
Ce2 0.760 0.053 0.725
Ce3 0.760 0.275 0.328
Ce4 0.240 0.328 0.053
Ce5 0.240 0.947 0.275
Ce6 0.240 0.725 0.672
Ce7 0.746 0.667 0.333
Ce8 0.254 0.333 0.667
In1 0.500 0.000 0.000
Os1 0.746 0.527 0.618
Os2 0.746 0.382 0.909
Os3 0.746 0.091 0.473
Os4 0.254 0.473 0.382
Os5 0.254 0.618 0.091
Os6 0.254 0.909 0.527